Entry 1:
Entry from the Alexandria database: a relaxed structure of Y2WAu (PBE).

a b c (Å): 9.5270 3.1754 6.1287
angles (deg): 90.00 99.97 90.00
Space group C2/m (No. 12)
One atom of each set of equivalent atoms:
Y  0.2494  0.0000  0.2550 x4
W  0.0000  0.0000  0.5000 x2
Au  0.0000  0.5000  0.0000 x2

## Properties
The value obtained for the formation energy is 0.348 eV/atom.

***

Entry 2:
Entry from the Alexandria database: a relaxed structure of K2BiCl (PBE).

a b c (Å): 8.8860 8.8860 9.0610
angles (deg): 90.00 90.00 90.00
Space group I-42d (No. 122)
One atom of each set of equivalent atoms:
K  0.1897  0.2500  0.1250 x8
Bi  0.0000  0.0000  0.5000 x4
Cl  0.0000  0.0000  0.0000 x4

***

| no. | final energy (Ry per atom) | size of the total moment (μB per formula unit) |
| --- | --- | --- |
| 1 | -0.510 | 0.00 |
| 2 | -0.199 | 2.00 |